LiAcThGe | PBE | relaxed

Computed properties:
* V: 108.5 Å³/cell
* electronic total energy: -18.72 eV/cell
* DOS(E_F): 3.90 states/eV/f.u.
* formation energy: -0.16 eV/atom

Lattice parameters (Å, degrees): 5.3544 5.3544 5.3544 60.00 60.00 60.00
With the nearest neighbours (Å) after each atom.
Sites, in units of the cell vectors:
Th  0.0000  0.0000  0.0000  4 Li 3.28, 4 Ge 3.28
Ge  0.7500  0.7500  0.7500  4 Th 3.28, 4 Ac 3.28
Ac  0.5000  0.5000  0.5000  4 Ge 3.28, 4 Li 3.28
Li  0.2500  0.2500  0.2500  4 Ac 3.28, 4 Th 3.28

---

InSbWAu2 | PBE | relaxed

Computed properties:
* V: 143.6 Å³/cell
* formation energy (no corrections): 1.591 eV per atom
* electronic total energy: -18.41 eV/cell
* DOS(E_F): 3.26 states/eV/f.u.

Lattice parameters (Å, degrees): 5.0533 5.6235 5.0533 90.00 90.00 90.00
With the nearest neighbours (Å) after each atom.
Sites, in units of the cell vectors:
Au  0.5000  0.0000  0.0000  2 In 2.53
Au  0.0000  0.0000  0.5000  2 In 2.53
W  0.5000  0.5000  0.5000  4 Sb 3.57, 8 Au 3.78
Sb  0.0000  0.5000  0.0000  2 In 2.81
In  0.0000  0.0000  0.0000  4 Au 2.53, 2 Sb 2.81

---

TcNi2S | PBE | relaxed

Computed properties:
* V: 100.4 Å³/cell
* formation energy (no corrections): -0.055 eV per atom
* electronic total energy: -52.55 eV/cell
* DOS(E_F): 3.18 states/eV/f.u.

Lattice parameters (Å, degrees): 4.3398 4.7891 5.3893 84.75 83.06 64.68
With the nearest neighbours (Å) after each atom.
Sites, in units of the cell vectors:
Ni  0.5781  0.2679  0.2592  2 S 2.21-2.24
Ni  0.8214  0.6223  0.4398  2 S 2.17-2.18
Ni  0.2115  0.8928  0.3611  2 S 2.15-2.34
Ni  0.0919  0.3499  0.0070  2 S 2.12-2.31
S  0.8880  0.8278  0.0723  4 Ni 2.12-2.34, 1 Tc 2.29
S  0.2384  0.2219  0.5931  4 Ni 2.15-2.31, 2 Tc 2.29-2.36
Tc  0.7232  0.1881  0.7479  3 S 2.29-2.36
Tc  0.4430  0.7495  0.8905  3 S 2.37-2.54, 1 Tc 2.58, 1 Ni 2.65

---

Ca2Al4Cu3Ag | PBE | relaxed

Computed properties:
* V: 187.8 Å³/cell
* electronic total energy: -36.71 eV/cell
* DOS(E_F): 5.99 states/eV/f.u.
* formation energy: -0.26 eV/atom

Lattice parameters (Å, degrees): 4.1475 4.1475 10.9173 90.00 90.00 90.00
With the nearest neighbours (Å) after each atom.
Sites, in units of the cell vectors:
Ca  0.0000  0.5000  0.7586  6 Cu 3.17-3.50, 8 Al 3.20-3.35, 2 Ag 3.50
Ca  0.5000  0.0000  0.2414  6 Cu 3.17-3.50, 8 Al 3.20-3.35, 2 Ag 3.50
Cu  0.5000  0.0000  0.8678  5 Al 2.47-2.53
Cu  0.0000  0.5000  0.1322  5 Al 2.47-2.53
Cu  0.0000  0.0000  0.5000  4 Al 2.59
Ag  0.5000  0.5000  0.5000  4 Al 2.59
Al  0.5000  0.0000  0.6416  3 Cu 2.47-2.59, 2 Ag 2.59
Al  0.0000  0.5000  0.3584  3 Cu 2.47-2.59, 2 Ag 2.59
Al  0.5000  0.5000  0.0000  4 Cu 2.53
Al  0.0000  0.0000  0.0000  4 Cu 2.53

---

CeSiPt4 | PBE | relaxed

Computed properties:
* V: 256.1 Å³/cell
* formation energy (no corrections): -0.474 eV per atom
* electronic total energy: -76.73 eV/cell
* DOS(E_F): 8.36 states/eV/f.u.

Lattice parameters (Å, degrees): 5.2247 5.2247 10.0839 105.01 105.01 90.00
With the nearest neighbours (Å) after each atom.
Sites, in units of the cell vectors:
Si  0.2500  0.7500  0.5000  4 Pt 2.27
Si  0.5000  0.5000  0.0000  4 Pt 2.27
Pt  0.5980  0.3416  0.1959  1 Si 2.27, 1 Pt 2.55
Pt  0.6584  0.4020  0.8041  1 Si 2.27, 1 Pt 2.55
Pt  0.1520  0.9084  0.3041  1 Si 2.27, 1 Pt 2.55
Pt  0.0916  0.8480  0.6959  1 Si 2.27, 1 Pt 2.55
Pt  0.5980  0.8543  0.1959  1 Si 2.27, 1 Pt 2.55
Pt  0.6043  0.8480  0.6959  1 Si 2.27, 1 Pt 2.55
Pt  0.1520  0.3957  0.3041  1 Si 2.27, 1 Pt 2.55
Pt  0.1457  0.4020  0.8041  1 Si 2.27, 1 Pt 2.55
Ce  0.0000  0.0000  0.0000  12 Pt 3.12-3.44
Ce  0.7500  0.2500  0.5000  12 Pt 3.12-3.44

---

Ho2ErSb | PBE | relaxed

Computed properties:
* V: 129.0 Å³/cell
* formation energy (no corrections): -0.268 eV per atom
* electronic total energy: -18.91 eV/cell
* DOS(E_F): 5.07 states/eV/f.u.

Lattice parameters (Å, degrees): 3.9341 3.9341 9.8864 78.52 78.52 60.00
With the nearest neighbours (Å) after each atom.
Sites, in units of the cell vectors:
Ho  0.7344  0.7344  0.7968  3 Sb 3.00
Ho  0.2656  0.2656  0.2032  3 Sb 3.00
Sb  0.0000  0.0000  0.0000  6 Ho 3.00
Er  0.5000  0.5000  0.5000  6 Ho 3.65, 6 Er 3.93

---

Rb2HF | PBE | relaxed

Computed properties:
* V: 264.2 Å³/cell
* electronic total energy: -25.19 eV/cell
* DOS(E_F): 0.00 states/eV/f.u.

Lattice parameters (Å, degrees): 6.4415 6.4415 7.8291 65.71 65.71 90.00
With the nearest neighbours (Å) after each atom.
Sites, in units of the cell vectors:
Rb  0.6403  0.1250  0.2500  2 F 2.72, 2 H 2.84
Rb  0.8750  0.8903  0.7500  2 F 2.72, 2 H 2.84
Rb  0.1097  0.6250  0.2500  2 F 2.72, 2 H 2.84
Rb  0.3750  0.3597  0.7500  2 F 2.72, 2 H 2.84
H  0.5000  0.5000  0.0000  4 Rb 2.84
H  0.2500  0.7500  0.5000  4 Rb 2.84
F  0.0000  0.0000  0.0000  4 Rb 2.72
F  0.7500  0.2500  0.5000  4 Rb 2.72

---

Th2Hg3Pb | PBE | relaxed

Computed properties:
* V: 176.3 Å³/cell
* electronic total energy: -19.47 eV/cell
* DOS(E_F): 4.98 states/eV/f.u.
* formation energy: 0.00 eV/atom

Lattice parameters (Å, degrees): 3.3532 5.8684 9.5775 107.84 100.08 90.00
With the nearest neighbours (Å) after each atom.
Sites, in units of the cell vectors:
Hg  0.1716  0.1716  0.3432  5 Th 3.07-3.39, 1 Pb 3.08, 2 Hg 3.35
Hg  0.8284  0.8284  0.6568  5 Th 3.07-3.39, 1 Pb 3.08, 2 Hg 3.35
Hg  0.0000  0.5000  0.0000  2 Pb 2.93, 4 Th 3.28
Pb  0.0000  0.0000  0.0000  4 Hg 2.93-3.08
Th  0.6570  0.6570  0.3140  7 Hg 3.07-3.39, 2 Th 3.35
Th  0.3430  0.3430  0.6860  7 Hg 3.07-3.39, 2 Th 3.35

---

TbHoTlRu | PBE | relaxed

Computed properties:
* V: 92.8 Å³/cell
* electronic total energy: -21.87 eV/cell
* DOS(E_F): 2.19 states/eV/f.u.
* formation energy: -0.25 eV/atom

Lattice parameters (Å, degrees): 5.0810 5.0810 5.0810 60.00 60.00 60.00
With the nearest neighbours (Å) after each atom.
Sites, in units of the cell vectors:
Tl  0.2500  0.2500  0.2500  4 Tb 3.11, 4 Ho 3.11
Ho  0.5000  0.5000  0.5000  4 Tl 3.11, 4 Ru 3.11
Ru  0.7500  0.7500  0.7500  4 Tb 3.11, 4 Ho 3.11
Tb  0.0000  0.0000  0.0000  4 Tl 3.11, 4 Ru 3.11

---

Pm2SmOs | PBE | relaxed

Computed properties:
* V: 116.0 Å³/cell
* electronic total energy: -25.34 eV/cell
* DOS(E_F): 3.16 states/eV/f.u.
* formation energy: 0.03 eV/atom

Lattice parameters (Å, degrees): 3.4766 3.4766 9.5986 90.00 90.00 90.00
With the nearest neighbours (Å) after each atom.
Sites, in units of the cell vectors:
Os  0.5000  0.5000  0.0000  8 Pm 3.00
Pm  0.0000  0.0000  0.1787  4 Os 3.00
Pm  0.0000  0.0000  0.8213  4 Os 3.00
Sm  0.5000  0.5000  0.5000  4 Sm 3.48

---

NaPaI4 | PBE | relaxed

Computed properties:
* V: 267.8 Å³/cell
* formation energy (no corrections): -0.975 eV per atom
* electronic total energy: -22.87 eV/cell
* DOS(E_F): 2.81 states/eV/f.u.

Lattice parameters (Å, degrees): 4.2291 8.9131 8.1381 115.22 90.00 103.72
With the nearest neighbours (Å) after each atom.
Sites, in units of the cell vectors:
I  0.6234  0.2468  0.2785  2 Pa 3.15, 1 Na 3.35
I  0.8852  0.7705  0.2022  1 Pa 3.09, 2 Na 3.17
I  0.3766  0.7532  0.7215  2 Pa 3.15, 1 Na 3.35
I  0.1148  0.2295  0.7978  1 Pa 3.09, 2 Na 3.17
Na  0.5000  0.0000  0.5000  6 I 3.17-3.35
Pa  0.0000  0.0000  0.0000  6 I 3.09-3.15

---

Cr2MoAs | PBE | relaxed

Computed properties:
* V: 55.5 Å³/cell
* electronic total energy: -34.08 eV/cell
* DOS(E_F): 4.11 states/eV/f.u.
* formation energy: 0.16 eV/atom

Lattice parameters (Å, degrees): 4.2825 4.2825 4.2825 60.00 60.00 60.00
With the nearest neighbours (Å) after each atom.
Sites, in units of the cell vectors:
As  0.5000  0.5000  0.5000  4 Cr 2.62, 4 Mo 2.62
Mo  0.7500  0.7500  0.7500  4 Cr 2.62, 4 As 2.62
Cr  0.2500  0.2500  0.2500  4 Cr 2.62, 4 As 2.62
Cr  0.0000  0.0000  0.0000  4 Mo 2.62, 4 Cr 2.62

---

Copy entry 11 word for word.
NaPaI4 | PBE | relaxed

Computed properties:
* V: 267.8 Å³/cell
* formation energy (no corrections): -0.975 eV per atom
* electronic total energy: -22.87 eV/cell
* DOS(E_F): 2.81 states/eV/f.u.

Lattice parameters (Å, degrees): 4.2291 8.9131 8.1381 115.22 90.00 103.72
With the nearest neighbours (Å) after each atom.
Sites, in units of the cell vectors:
I  0.6234  0.2468  0.2785  2 Pa 3.15, 1 Na 3.35
I  0.8852  0.7705  0.2022  1 Pa 3.09, 2 Na 3.17
I  0.3766  0.7532  0.7215  2 Pa 3.15, 1 Na 3.35
I  0.1148  0.2295  0.7978  1 Pa 3.09, 2 Na 3.17
Na  0.5000  0.0000  0.5000  6 I 3.17-3.35
Pa  0.0000  0.0000  0.0000  6 I 3.09-3.15

---

Q: Look up the DOS(E_F) of the ninth one.
A: 2.19 states/eV/f.u.